No. 1
# GGA-PBE HfUBe, optimized geometry
data_HfUBe
_symmetry_space_group_name_H-M 'F -4 3 m'
_symmetry_Int_Tables_number 216
_symmetry_space_group_name_Hall 'F -4 2 3'
_cell_length_a 6.1436
_cell_length_b 6.1436
_cell_length_c 6.1436
_cell_angle_alpha 90.00
_cell_angle_beta 90.00
_cell_angle_gamma 90.00
loop_
_atom_site_label
_atom_site_fract_x
_atom_site_fract_y
_atom_site_fract_z
_atom_site_occupancy
Hf1 0.0000 0.0000 0.0000 1
U1 0.0000 0.0000 0.5000 1
Be1 0.2500 0.2500 0.2500 1
# * total magnetic moment: 0.46 μB per atom
# * energy relative to the lowest polymorph listed for this composition: 0.0000 eV per atom
# * crystal system: cubic

=====

No. 2
# GGA-PBE La6Cd23Pb, optimized geometry
data_La6Cd23Pb
_symmetry_space_group_name_H-M 'F m -3 m'
_symmetry_Int_Tables_number 225
_symmetry_space_group_name_Hall '-F 4 2 3'
_cell_length_a 14.3512
_cell_length_b 14.3512
_cell_length_c 14.3512
_cell_angle_alpha 90.00
_cell_angle_beta 90.00
_cell_angle_gamma 90.00
loop_
_atom_site_label
_atom_site_fract_x
_atom_site_fract_y
_atom_site_fract_z
_atom_site_occupancy
La1 0.0000 0.0000 0.2252 1
Cd1 0.0000 0.0000 0.5000 1
Cd2 0.0000 0.2500 0.2500 1
Cd3 0.1262 0.1262 0.3738 1
Cd4 0.1594 0.1594 0.1594 1
Pb1 0.0000 0.0000 0.0000 1
# * total magnetic moment: 0.00 μB per atom
# * crystal system: cubic
# * E_tot: -2.120 eV per atom

=====

No. 3
# GGA-PBE RbHoCdTe3, optimized geometry
data_RbHoCdTe3
_symmetry_space_group_name_H-M 'C 1 2/m 1'
_symmetry_Int_Tables_number 12
_symmetry_space_group_name_Hall '-C 2y'
_cell_length_a 19.5262
_cell_length_b 4.5124
_cell_length_c 9.9316
_cell_angle_alpha 90.00
_cell_angle_beta 102.69
_cell_angle_gamma 90.00
loop_
_atom_site_label
_atom_site_fract_x
_atom_site_fract_y
_atom_site_fract_z
_atom_site_occupancy
Rb1 0.1439 0.0000 0.0674 1
Ho1 0.1741 0.0000 0.5800 1
Cd1 0.0157 0.5000 0.7189 1
Te1 0.0000 0.0000 0.5000 1
Te2 0.0000 0.5000 0.0000 1
Te3 0.1658 0.5000 0.3661 1
Te4 0.1683 0.5000 0.7859 1
# * total magnetic moment: 0.00 μB per atom
# * crystal system: monoclinic
# * E_tot: -3.600 eV per atom

=====

No. 4
# GGA-PBE NdTl, optimized geometry
data_NdTl
_symmetry_space_group_name_H-M 'P m -3 m'
_symmetry_Int_Tables_number 221
_symmetry_space_group_name_Hall '-P 4 2 3'
_cell_length_a 3.8822
_cell_length_b 3.8822
_cell_length_c 3.8822
_cell_angle_alpha 90.00
_cell_angle_beta 90.00
_cell_angle_gamma 90.00
loop_
_atom_site_label
_atom_site_fract_x
_atom_site_fract_y
_atom_site_fract_z
_atom_site_occupancy
Nd1 0.0000 0.0000 0.0000 1
Tl1 0.5000 0.5000 0.5000 1
# * total magnetic moment: 0.00 μB per atom
# * crystal system: cubic
# * E_tot: -3.955 eV per atom

=====

No. 5
# GGA-PBE HfTaTc2, optimized geometry
data_HfTaTc2
_symmetry_space_group_name_H-M 'P 4/m m m'
_symmetry_Int_Tables_number 123
_symmetry_space_group_name_Hall '-P 4 2'
_cell_length_a 3.2154
_cell_length_b 3.2154
_cell_length_c 6.4595
_cell_angle_alpha 90.00
_cell_angle_beta 90.00
_cell_angle_gamma 90.00
loop_
_atom_site_label
_atom_site_fract_x
_atom_site_fract_y
_atom_site_fract_z
_atom_site_occupancy
Hf1 0.0000 0.0000 0.0000 1
Ta1 0.0000 0.0000 0.5000 1
Tc1 0.5000 0.5000 0.2583 1
# * total magnetic moment: 0.00 μB per atom
# * energy relative to the lowest polymorph listed for this composition: 0.0000 eV per atom
# * crystal system: tetragonal

=====

No. 6
# GGA-PBE ErTmS2Br2, optimized geometry
data_ErTmS2Br2
_symmetry_space_group_name_H-M 'P m m 2'
_symmetry_Int_Tables_number 25
_symmetry_space_group_name_Hall 'P 2 -2'
_cell_length_a 4.0034
_cell_length_b 5.3146
_cell_length_c 9.0308
_cell_angle_alpha 90.00
_cell_angle_beta 90.00
_cell_angle_gamma 90.00
loop_
_atom_site_label
_atom_site_fract_x
_atom_site_fract_y
_atom_site_fract_z
_atom_site_occupancy
Er1 0.0000 0.0000 0.0000 1
Tm1 0.5000 0.5000 0.2501 1
S1 0.0000 0.5000 0.0481 1
S2 0.5000 0.0000 0.2040 1
Br1 0.0000 0.5000 0.4652 1
Br2 0.5000 0.0000 0.7831 1
# * total magnetic moment: 0.00 μB per atom
# * crystal system: orthorhombic
# * E_tot: -5.453 eV per atom

=====

No. 7
# GGA-PBE PrAgAsO, optimized geometry
data_PrAgAsO
_symmetry_space_group_name_H-M 'P 4/n m m'
_symmetry_Int_Tables_number 129
_cell_length_a 4.1279
_cell_length_b 4.1279
_cell_length_c 9.1799
_cell_angle_alpha 90.00
_cell_angle_beta 90.00
_cell_angle_gamma 90.00
loop_
_symmetry_equiv_pos_as_xyz
'x,y,z'
'-x,-y,-z'
'-y+1/2,x,z'
'y+1/2,-x,-z'
'-x+1/2,-y+1/2,z'
'x+1/2,y+1/2,-z'
'y,-x+1/2,z'
'-y,x+1/2,-z'
'x+1/2,-y,-z'
'-x+1/2,y,z'
'-y,-x,-z'
'y,x,z'
'-x,y+1/2,-z'
'x,-y+1/2,z'
'y+1/2,x+1/2,-z'
'-y+1/2,-x+1/2,z'
loop_
_atom_site_label
_atom_site_fract_x
_atom_site_fract_y
_atom_site_fract_z
_atom_site_occupancy
Pr1 0.2500 0.2500 0.1283 1
Ag1 0.2500 0.7500 0.5000 1
As1 0.2500 0.2500 0.6861 1
O1 0.2500 0.7500 0.0000 1
# * total magnetic moment: 0.00 μB per atom
# * energy relative to the lowest polymorph listed for this composition: 0.0000 eV per atom
# * crystal system: tetragonal

=====

No. 8
# GGA-PBE CoCuS4, optimized geometry
data_CoCuS4
_symmetry_space_group_name_H-M 'P 1 2/m 1'
_symmetry_Int_Tables_number 10
_symmetry_space_group_name_Hall '-P 2y'
_cell_length_a 6.0611
_cell_length_b 2.5152
_cell_length_c 6.0814
_cell_angle_alpha 90.00
_cell_angle_beta 90.31
_cell_angle_gamma 90.00
loop_
_atom_site_label
_atom_site_fract_x
_atom_site_fract_y
_atom_site_fract_z
_atom_site_occupancy
Co1 0.0000 0.0000 0.0000 1
Cu1 0.5000 0.0000 0.5000 1
S1 0.1458 0.0000 0.6702 1
S2 0.3319 0.0000 0.1477 1
# * total magnetic moment: 0.00 μB per atom
# * energy relative to the lowest polymorph listed for this composition: 0.3887 eV per atom
# * crystal system: monoclinic